(1)
The following is a PBE calculation of Li4DyEr3Te8 after structural relaxation, from the Alexandria database.

## Properties
Raw total energy (eV/atom): -4.48
Formation energy without anion corrections (eV/atom): -1.283
Total magnetization (μB/atom): 0.0000

```
data_Li4DyEr3Te8
_chemical_formula_sum 'Li12 Dy3 Er9 Te24'
_cell_length_a 8.6434
_cell_length_b 8.6434
_cell_length_c 21.1591
_cell_angle_alpha 90.00
_cell_angle_beta 90.00
_cell_angle_gamma 120.00
_symmetry_space_group_name_H-M 'R -3 m'
_symmetry_Int_Tables_number 166
_symmetry_space_group_name_Hall '-R 3 2"'
loop_
_atom_site_label
_atom_site_fract_x
_atom_site_fract_y
_atom_site_fract_z
_atom_site_occupancy
Li1 0.0000 0.0000 0.0000 1
Li2 0.0000 0.5000 0.0000 1
Dy1 0.0000 0.0000 0.5000 1
Er1 0.0000 0.5000 0.5000 1
Te1 0.0000 0.0000 0.2511 1
Te2 0.0016 0.5008 0.7486 1
```

---

(2)
The following is a PBE calculation of CaGdTlCu after structural relaxation, from the Alexandria database.

## Properties
Raw total energy (eV/atom): -5.87
D(E_F) (states/eV per cell): 13.20
Total magnetization (μB/atom): 1.8022
Energy of formation from the pure elements (eV/atom): -0.233

```
data_CaGdTlCu
_chemical_formula_sum 'Ca4 Gd4 Tl4 Cu4'
_cell_length_a 7.422
_cell_length_b 7.422
_cell_length_c 7.422
_cell_angle_alpha 90.00
_cell_angle_beta 90.00
_cell_angle_gamma 90.00
_symmetry_space_group_name_H-M 'F -4 3 m'
_symmetry_Int_Tables_number 216
_symmetry_space_group_name_Hall 'F -4 2 3'
loop_
_atom_site_label
_atom_site_fract_x
_atom_site_fract_y
_atom_site_fract_z
_atom_site_occupancy
Ca1 0.000 0.000 0.000 1
Gd1 0.000 0.000 0.500 1
Tl1 0.250 0.250 0.250 1
Cu1 0.250 0.250 0.750 1
```

---

(3)
The following is a PBE calculation of CaY2Bi2 after structural relaxation, from the Alexandria database.

## Properties
Relative energy among the computed polymorphs (meV/atom): 242
Raw total energy (eV/atom): -5.04
D(E_F) (states/eV per cell): 5.07
Total magnetization (μB/atom): 0.0616
Energy of formation from the pure elements (eV/atom): -0.502

```
data_CaY2Bi2
_chemical_formula_sum 'Ca2 Y4 Bi4'
_cell_length_a 8.870
_cell_length_b 8.870
_cell_length_c 3.997
_cell_angle_alpha 90.00
_cell_angle_beta 90.00
_cell_angle_gamma 90.00
_symmetry_space_group_name_H-M 'P 4/m b m'
_symmetry_Int_Tables_number 127
_symmetry_space_group_name_Hall '-P 4 2ab'
loop_
_atom_site_label
_atom_site_fract_x
_atom_site_fract_y
_atom_site_fract_z
_atom_site_occupancy
Ca1 0.000 0.000 0.000 1
Y1 0.134 0.366 0.000 1
Bi1 0.165 0.665 0.500 1
```

---

(4)
The following is a PBE calculation of Ca2GaTeIr after structural relaxation, from the Alexandria database.

## Properties
Raw total energy (eV/atom): -4.49
Formation energy without anion corrections (eV/atom): -0.679
D(E_F) (states/eV per cell): 1.05
Total magnetization (μB/atom): 0.0000

```
data_Ca2GaTeIr
_chemical_formula_sum 'Ca2 Ga1 Te1 Ir1'
_cell_length_a 5.489
_cell_length_b 5.489
_cell_length_c 4.759
_cell_angle_alpha 90.00
_cell_angle_beta 90.00
_cell_angle_gamma 90.00
_symmetry_space_group_name_H-M 'P 4/m m m'
_symmetry_Int_Tables_number 123
_symmetry_space_group_name_Hall '-P 4 2'
loop_
_atom_site_label
_atom_site_fract_x
_atom_site_fract_y
_atom_site_fract_z
_atom_site_occupancy
Ca1 0.000 0.500 0.000 1
Ga1 0.000 0.000 0.500 1
Te1 0.500 0.500 0.500 1
Ir1 0.000 0.000 0.000 1
```

---

(5)
The following is a PBE calculation of CaIr2Ru after structural relaxation, from the Alexandria database.

## Properties
Relative energy among the computed polymorphs (meV/atom): 142
Raw total energy (eV/atom): -7.10
D(E_F) (states/eV per cell): 8.36
Total magnetization (μB/atom): 0.0000
Energy of formation from the pure elements (eV/atom): 0.154

```
data_CaIr2Ru
_chemical_formula_sum 'Ca2 Ir4 Ru2'
_cell_length_a 9.468
_cell_length_b 2.778
_cell_length_c 5.099
_cell_angle_alpha 90.00
_cell_angle_beta 99.13
_cell_angle_gamma 90.00
_symmetry_space_group_name_H-M 'C 1 2/m 1'
_symmetry_Int_Tables_number 12
_symmetry_space_group_name_Hall '-C 2y'
loop_
_atom_site_label
_atom_site_fract_x
_atom_site_fract_y
_atom_site_fract_z
_atom_site_occupancy
Ca1 0.000 0.000 0.000 1
Ir1 0.240 0.000 0.713 1
Ru1 0.000 0.500 0.500 1
```

---

(6)
The following is a PBE calculation of KHgF2 after structural relaxation, from the Alexandria database.

## Properties
Relative energy among the computed polymorphs (meV/atom): 177
Raw total energy (eV/atom): -3.05
Formation energy without anion corrections (eV/atom): -1.761
D(E_F) (states/eV per cell): 2.86
Total magnetization (μB/atom): 0.0000

```
data_KHgF2
_chemical_formula_sum 'K3 Hg3 F6'
_cell_length_a 3.7480
_cell_length_b 3.7480
_cell_length_c 22.5752
_cell_angle_alpha 90.00
_cell_angle_beta 90.00
_cell_angle_gamma 120.00
_symmetry_space_group_name_H-M 'R -3 m'
_symmetry_Int_Tables_number 166
_symmetry_space_group_name_Hall '-R 3 2"'
loop_
_atom_site_label
_atom_site_fract_x
_atom_site_fract_y
_atom_site_fract_z
_atom_site_occupancy
K1 0.0000 0.0000 0.0000 1
Hg1 0.0000 0.0000 0.5000 1
F1 0.0000 0.0000 0.3996 1
```

---

(7)
The following is a PBE calculation of SrZr2S after structural relaxation, from the Alexandria database.

## Properties
Raw total energy (eV/atom): -6.03
Formation energy without anion corrections (eV/atom): -0.308
D(E_F) (states/eV per cell): 10.40
Total magnetization (μB/atom): 0.0000

```
data_SrZr2S
_chemical_formula_sum 'Sr4 Zr8 S4'
_cell_length_a 8.430
_cell_length_b 8.430
_cell_length_c 5.824
_cell_angle_alpha 90.00
_cell_angle_beta 90.00
_cell_angle_gamma 90.00
_symmetry_space_group_name_H-M 'I -4 2 d'
_symmetry_Int_Tables_number 122
_symmetry_space_group_name_Hall 'I -4 2bw'
loop_
_atom_site_label
_atom_site_fract_x
_atom_site_fract_y
_atom_site_fract_z
_atom_site_occupancy
Sr1 0.000 0.000 0.000 1
Zr1 0.151 0.250 0.625 1
S1 0.000 0.000 0.500 1
```

---

(8)
The following is a PBE calculation of Li8GaPd2 after structural relaxation, from the Alexandria database.

## Properties
Relative energy among the computed polymorphs (meV/atom): 0
Raw total energy (eV/atom): -2.88
D(E_F) (states/eV per cell): 5.58
Total magnetization (μB/atom): 0.0000
Energy of formation from the pure elements (eV/atom): -0.268

```
data_Li8GaPd2
_chemical_formula_sum 'Li16 Ga2 Pd4'
_cell_length_a 14.335
_cell_length_b 3.923
_cell_length_c 6.319
_cell_angle_alpha 90.00
_cell_angle_beta 106.76
_cell_angle_gamma 90.00
_symmetry_space_group_name_H-M 'C 1 2/m 1'
_symmetry_Int_Tables_number 12
_symmetry_space_group_name_Hall '-C 2y'
loop_
_atom_site_label
_atom_site_fract_x
_atom_site_fract_y
_atom_site_fract_z
_atom_site_occupancy
Li1 0.050 0.000 0.241 1
Li2 0.107 0.500 0.964 1
Li3 0.147 0.000 0.710 1
Li4 0.184 0.500 0.414 1
Ga1 0.000 0.500 0.500 1
Pd1 0.225 0.000 0.148 1
```

---

(9)
The following is a PBE calculation of NiTe4Ru after structural relaxation, from the Alexandria database.

## Properties
Relative energy among the computed polymorphs (meV/atom): 43
Raw total energy (eV/atom): -4.78
Formation energy without anion corrections (eV/atom): -0.176
D(E_F) (states/eV per cell): 3.91
Total magnetization (μB/atom): 0.0000

```
data_NiTe4Ru
_chemical_formula_sum 'Ni1 Te4 Ru1'
_cell_length_a 5.551
_cell_length_b 3.921
_cell_length_c 6.668
_cell_angle_alpha 90.00
_cell_angle_beta 90.12
_cell_angle_gamma 90.00
_symmetry_space_group_name_H-M 'P 1 2/m 1'
_symmetry_Int_Tables_number 10
_symmetry_space_group_name_Hall '-P 2y'
loop_
_atom_site_label
_atom_site_fract_x
_atom_site_fract_y
_atom_site_fract_z
_atom_site_occupancy
Ni1 0.000 0.000 0.000 1
Te1 0.236 0.500 0.156 1
Te2 0.259 0.000 0.660 1
Ru1 0.000 0.500 0.500 1
```

---

(10)
The following is a PBE calculation of LiSb2Te after structural relaxation, from the Alexandria database.

## Properties
Raw total energy (eV/atom): -3.25
Formation energy without anion corrections (eV/atom): 0.071
D(E_F) (states/eV per cell): 4.51
Total magnetization (μB/atom): 0.0000

```
data_LiSb2Te
_chemical_formula_sum 'Li3 Sb6 Te3'
_cell_length_a 3.5291
_cell_length_b 3.5291
_cell_length_c 27.9328
_cell_angle_alpha 90.00
_cell_angle_beta 90.00
_cell_angle_gamma 120.00
_symmetry_space_group_name_H-M 'R -3 m'
_symmetry_Int_Tables_number 166
_symmetry_space_group_name_Hall '-R 3 2"'
loop_
_atom_site_label
_atom_site_fract_x
_atom_site_fract_y
_atom_site_fract_z
_atom_site_occupancy
Li1 0.0000 0.0000 0.0000 1
Sb1 0.0000 0.0000 0.2560 1
Te1 0.0000 0.0000 0.5000 1
```

---

(11)
The following is a PBE calculation of HgTe2P after structural relaxation, from the Alexandria database.

## Properties
Relative energy among the computed polymorphs (meV/atom): 393
Raw total energy (eV/atom): -2.48
Formation energy without anion corrections (eV/atom): 0.519
D(E_F) (states/eV per cell): 1.96
Total magnetization (μB/atom): 0.0000

```
data_HgTe2P
_chemical_formula_sum 'Hg1 Te2 P1'
_cell_length_a 5.145
_cell_length_b 5.145
_cell_length_c 3.663
_cell_angle_alpha 90.00
_cell_angle_beta 90.00
_cell_angle_gamma 90.00
_symmetry_space_group_name_H-M 'P 4/m m m'
_symmetry_Int_Tables_number 123
_symmetry_space_group_name_Hall '-P 4 2'
loop_
_atom_site_label
_atom_site_fract_x
_atom_site_fract_y
_atom_site_fract_z
_atom_site_occupancy
Hg1 0.000 0.000 0.000 1
Te1 0.000 0.500 0.500 1
P1 0.500 0.500 0.000 1
```

---

(12)
The following is a PBE calculation of RbScSn after structural relaxation, from the Alexandria database.

## Properties
Relative energy among the computed polymorphs (meV/atom): 347
Raw total energy (eV/atom): -3.77
D(E_F) (states/eV per cell): 0.35
Total magnetization (μB/atom): 0.0000
Energy of formation from the pure elements (eV/atom): -0.002

```
data_RbScSn
_chemical_formula_sum 'Rb2 Sc2 Sn2'
_cell_length_a 5.6373
_cell_length_b 5.6373
_cell_length_c 6.5209
_cell_angle_alpha 90.00
_cell_angle_beta 90.00
_cell_angle_gamma 120.00
_symmetry_space_group_name_H-M 'P 63/m m c'
_symmetry_Int_Tables_number 194
_symmetry_space_group_name_Hall '-P 6c 2c'
loop_
_atom_site_label
_atom_site_fract_x
_atom_site_fract_y
_atom_site_fract_z
_atom_site_occupancy
Rb1 0.0000 0.0000 0.0000 1
Sc1 0.3333 0.6667 0.2500 1
Sn1 0.3333 0.6667 0.7500 1
```